Entry 1:
Entry from Alexandria via LeMat-Bulk: an optimized crystal structure of Al3AsN (PBE).

```
Al3AsN
1.0
4.212 0.000 0.000
0.000 4.212 0.000
0.000 0.000 4.212
Al As N
3 1 1
Direct
0.000 0.000 0.500
0.000 0.500 0.000
0.500 0.000 0.000
0.500 0.500 0.500
0.000 0.000 0.000
```

Summary:
Uncorrected formation energy ... 0.085 eV per atom
Spin magnetization ... 0.000 μB per formula unit
Density ... 3.8 Mg/m³
Final energy ... -23.78 eV for the cell shown
Polymorph energy (0 for the lowest one) ... 0.00 kJ per mole of atoms
SG ... No. 221

Entry 2:
Entry from Alexandria via LeMat-Bulk: an optimized crystal structure of HfAgPCl2 (PBE).

```
HfAgPCl2
1.0
4.912 0.000 0.000
0.000 4.912 0.000
0.000 0.000 5.152
Hf Ag P Cl
1 1 1 2
Direct
0.000 0.000 0.000
0.500 0.500 0.500
0.000 0.000 0.500
0.000 0.500 0.000
0.500 0.000 0.000
```

Summary:
Uncorrected formation energy ... -0.493 eV per atom
Spin magnetization ... 0.000 μB per formula unit
Density ... 5.2 Mg/m³
Final energy ... -24.37 eV for the cell shown
Polymorph energy (0 for the lowest one) ... 0.00 kJ per mole of atoms
SG ... No. 123

Entry 3:
Entry from Alexandria via LeMat-Bulk: an optimized crystal structure of Sc4Sb3Te (PBE).

```
Sc4Sb3Te
1.0
4.161 -5.881 0.000
4.161 5.881 0.000
0.000 0.000 4.168
Sc Sb Te
4 3 1
Direct
0.244 0.244 0.500
0.247 0.753 0.000
0.753 0.247 0.000
0.756 0.756 0.500
0.000 0.000 0.000
0.000 0.500 0.500
0.500 0.000 0.500
0.500 0.500 0.000
```

Summary:
Uncorrected formation energy ... -1.015 eV per atom
Spin magnetization ... 0.000 μB per formula unit
Density ... 5.5 Mg/m³
Final energy ... -48.96 eV for the cell shown
SG ... No. 65

Entry 4:
Entry from Alexandria via LeMat-Bulk: an optimized crystal structure of BeIn3O6 (PBE).

```
BeIn3O6
1.0
4.336 -5.236 0.000
4.336 5.236 0.000
0.000 0.000 5.159
Be In O
2 6 12
Direct
0.186 0.814 0.500
0.814 0.186 0.000
0.077 0.313 0.503
0.313 0.077 0.003
0.389 0.611 0.064
0.611 0.389 0.564
0.687 0.923 0.503
0.923 0.687 0.003
0.024 0.976 0.509
0.103 0.610 0.325
0.222 0.778 0.811
0.324 0.352 0.781
0.352 0.324 0.281
0.390 0.897 0.325
0.610 0.103 0.825
0.648 0.676 0.781
0.676 0.648 0.281
0.778 0.222 0.311
0.897 0.390 0.825
0.976 0.024 0.009
```

Summary:
Uncorrected formation energy ... -1.581 eV per atom
Spin magnetization ... 0.754 μB per formula unit
Density ... 6.4 Mg/m³
Final energy ... -115.00 eV for the cell shown
SG ... No. 36

Entry 5:
Entry from Alexandria via LeMat-Bulk: an optimized crystal structure of SiN (PBE).

```
SiN
1.0
3.039 0.000 0.000
-1.519 2.632 0.000
0.000 0.000 2.889
Si N
1 1
Direct
0.000 0.000 0.000
0.667 0.333 0.000
```

Summary:
Uncorrected formation energy ... -0.059 eV per atom
Spin magnetization ... 0.000 μB per formula unit
Density ... 3.0 Mg/m³
Final energy ... -13.87 eV for the cell shown
Polymorph energy (0 for the lowest one) ... 66.76 kJ per mole of atoms
SG ... No. 187

Entry 6:
Entry from Alexandria via LeMat-Bulk: an optimized crystal structure of CdSeCl2 (PBE).

```
CdSeCl2
1.0
3.540 0.000 0.000
0.000 4.238 0.000
0.000 0.000 6.045
Cd Se Cl
1 1 2
Direct
0.000 0.000 0.000
0.500 0.000 0.500
0.000 0.500 0.500
0.500 0.500 0.000
```

Summary:
Uncorrected formation energy ... -0.134 eV per atom
Spin magnetization ... 0.000 μB per formula unit
Density ... 4.8 Mg/m³
Final energy ... -8.63 eV for the cell shown
Polymorph energy (0 for the lowest one) ... 38.90 kJ per mole of atoms
SG ... No. 47

Entry 7:
Entry from Alexandria via LeMat-Bulk: an optimized crystal structure of LiSnB (PBE).

```
LiSnB
1.0
3.901 0.000 0.000
-1.950 3.378 0.000
0.000 0.000 6.586
Li Sn B
2 2 2
Direct
0.000 0.000 0.000
0.000 0.000 0.500
0.333 0.667 0.264
0.667 0.333 0.764
0.333 0.667 0.894
0.667 0.333 0.394
```

Summary:
Formation energy from the elements ... 0.17 eV per atom
Spin magnetization ... 0.000 μB per formula unit
Density ... 5.2 Mg/m³
Final energy ... -24.19 eV for the cell shown
Polymorph energy (0 for the lowest one) ... 24.73 kJ per mole of atoms
SG ... No. 186

Entry 8:
Entry from Alexandria via LeMat-Bulk: an optimized crystal structure of CsVS2I (PBE).

```
CsVS2I
1.0
5.325 0.000 0.000
0.000 5.325 0.000
0.000 0.000 9.324
Cs V S I
1 1 2 1
Direct
0.000 0.000 0.000
0.000 0.000 0.500
0.000 0.500 0.000
0.500 0.000 0.000
0.500 0.500 0.500
```

Summary:
Uncorrected formation energy ... 1.315 eV per atom
Spin magnetization ... 4.124 μB per formula unit
Density ... 2.4 Mg/m³
Final energy ... -13.20 eV for the cell shown
SG ... No. 123

Entry 9:
Entry from Alexandria via LeMat-Bulk: an optimized crystal structure of Ba8LiAu4 (PBE).

```
Ba8LiAu4
1.0
11.304 -2.445 0.000
11.304 2.445 0.000
-11.270 0.000 11.323
Ba Li Au
8 1 4
Direct
0.000 0.000 0.000
0.017 0.017 0.430
0.035 0.035 0.726
0.312 0.312 0.351
0.331 0.331 0.647
0.348 0.348 0.077
0.624 0.624 0.326
0.724 0.724 0.751
0.673 0.673 0.038
0.362 0.362 0.882
0.520 0.520 0.571
0.828 0.828 0.505
0.986 0.986 0.195
```

Summary:
Formation energy from the elements ... -0.44 eV per atom
Spin magnetization ... 0.000 μB per formula unit
Density ... 5.0 Mg/m³
Final energy ... -36.08 eV for the cell shown
SG ... No. 8

Entry 10:
Entry from Alexandria via LeMat-Bulk: an optimized crystal structure of MgTc2Ni (PBE).

```
MgTc2Ni
1.0
2.824 0.000 0.000
0.000 2.824 0.000
0.000 0.000 7.283
Mg Tc Ni
1 2 1
Direct
0.000 0.000 0.000
0.000 0.000 0.479
0.500 0.500 0.713
0.500 0.500 0.242
```

Summary:
Formation energy from the elements ... 0.09 eV per atom
Spin magnetization ... 0.000 μB per formula unit
Density ... 8.0 Mg/m³
Final energy ... -27.73 eV for the cell shown
SG ... No. 99

Entry 11:
Entry from Alexandria via LeMat-Bulk: an optimized crystal structure of IrCO (PBE).

```
IrCO
1.0
4.521 -1.358 0.000
4.521 1.358 0.000
-0.641 0.000 8.353
Ir C O
2 2 2
Direct
0.140 0.140 0.055
0.860 0.860 0.945
0.374 0.374 0.767
0.626 0.626 0.233
0.377 0.377 0.627
0.623 0.623 0.373
```

Summary:
Uncorrected formation energy ... -0.271 eV per atom
Spin magnetization ... 0.000 μB per formula unit
Density ... 7.1 Mg/m³
Final energy ... -47.71 eV for the cell shown
SG ... No. 12

Entry 12:
Entry from Alexandria via LeMat-Bulk: an optimized crystal structure of ZnFe2P (PBE).

```
ZnFe2P
1.0
1.355 0.782 8.062
-1.355 0.782 8.062
0.000 -1.564 8.062
Zn Fe P
1 2 1
Direct
0.000 0.000 0.000
0.501 0.501 0.501
0.753 0.753 0.753
0.234 0.234 0.234
```

Summary:
Formation energy from the elements ... 0.07 eV per atom
Spin magnetization ... 3.571 μB per formula unit
Density ... 6.7 Mg/m³
Final energy ... -23.32 eV for the cell shown
SG ... No. 160

Which formula does entry 9 have?
Ba8LiAu4

Number 7 is which compound?
LiSnB